Computed, not measured: a geometry-optimized YHoErMg structure at the PBE level of DFT.

a = 5.4832 Å, b = 5.4832 Å, c = 5.4832 Å
α = 60.00°, β = 60.00°, γ = 60.00°
Sites, in units of the cell vectors:
Y (0.5000, 0.5000, 0.5000)
Mg (0.7500, 0.7500, 0.7500)
Ho (0.0000, 0.0000, 0.0000)
Er (0.2500, 0.2500, 0.2500)

Properties
The calculation puts the energy above the lowest structure with this stoichiometry at 73.5 meV/atom. The symmetry is F-43m (216). For the formation energy, the calculation gives 46.0 meV/atom.